[1]
Computed, not measured: a relaxed structure of Ac2CuTe at the GGA-PBE level of DFT.

abc: 3.9709 3.9709 7.9134
angles: 90.00 90.00 90.00
Atoms (fractional coordinates):
Ac 0.0000 0.0000 0.2379
Cu 0.5000 0.5000 0.0000
Ac 0.0000 0.0000 0.7621
Te 0.5000 0.5000 0.5000

Properties
The value obtained for the volume is 31.19 Å³/atom. As for the theoretical density: 8.586 Mg/m³. The value obtained for the total magnetization is 0.11 μB per formula unit. Its raw formation energy is -0.629 eV/atom. The calculation puts the calculated total energy at -17.971 eV for the cell shown.


[2]
Computed, not measured: a relaxed structure of Pr2PuIr at the GGA-PBE level of DFT.

abc: 3.8764 3.8764 10.8225
angles: 79.68 79.68 60.00
Atoms (fractional coordinates):
Pu 0.0000 0.0000 0.0000
Pr 0.8882 0.8882 0.3354
Pr 0.1118 0.1118 0.6646
Ir 0.5000 0.5000 0.5000

Properties
The value obtained for the volume is 34.45 Å³/atom. As for the theoretical density: 8.653 Mg/m³. The value obtained for the total magnetization is 6.73 μB per formula unit. The calculation puts the calculated total energy at -32.377 eV for the cell shown.


[3]
Computed, not measured: a relaxed structure of Se2N2Cl at the GGA-PBE level of DFT.

abc: 11.6406 11.6406 2.4411
angles: 90.00 90.00 90.00
Atoms (fractional coordinates):
Cl 0.0000 0.0000 0.0000
Se 0.2611 0.2389 0.5000
N 0.5337 0.0337 0.0000
Se 0.2389 0.7389 0.5000
Se 0.7611 0.2611 0.5000
Se 0.7389 0.7611 0.5000
Cl 0.5000 0.5000 0.0000
N 0.4663 0.9663 0.0000
N 0.9663 0.5337 0.0000
N 0.0337 0.4663 0.0000

Properties
The value obtained for the volume is 33.08 Å³/atom. As for the theoretical density: 2.223 Mg/m³. The value obtained for the total magnetization is 0.33 μB per formula unit. Its raw formation energy is 0.380 eV/atom. The calculation puts the calculated total energy at -47.133 eV for the cell shown.


[4]
Computed, not measured: a relaxed structure of Tl2NiMo at the GGA-PBE level of DFT.

abc: 5.5079 5.5079 5.5079
angles: 137.55 137.55 61.59
Atoms (fractional coordinates):
Ni 0.7500 0.2500 0.5000
Tl 0.2500 0.7500 0.5000
Tl 0.0000 0.0000 0.0000
Mo 0.5000 0.5000 0.0000

Properties
The value obtained for the volume is 18.81 Å³/atom. As for the theoretical density: 12.432 Mg/m³. The value obtained for the total magnetization is 0.01 μB per formula unit. The calculation puts the calculated total energy at -18.290 eV for the cell shown.


[5]
Computed, not measured: a relaxed structure of Y2Ho3Tm6Pu at the GGA-PBE level of DFT.

abc: 6.0670 6.0670 11.5679
angles: 95.03 95.03 120.00
Atoms (fractional coordinates):
Ho 0.1673 0.8327 0.5000
Tm 0.2462 0.2462 0.7505
Y 0.6666 0.3334 0.0000
Ho 0.8327 0.1673 0.5000
Y 0.3334 0.6666 0.0000
Pu 0.0000 0.0000 0.0000
Ho 0.5000 0.5000 0.5000
Tm 0.4119 0.0829 0.2493
Tm 0.9171 0.5881 0.7507
Tm 0.0829 0.4119 0.2493
Tm 0.7538 0.7538 0.2495
Tm 0.5881 0.9171 0.7507

Properties
The value obtained for the volume is 30.26 Å³/atom. As for the theoretical density: 8.828 Mg/m³. The value obtained for the total magnetization is 6.46 μB per formula unit. The calculation puts the calculated total energy at -67.239 eV for the cell shown.


[6]
Computed, not measured: a relaxed structure of BaFeBr at the GGA-PBE level of DFT.

abc: 6.5953 6.5953 6.5953
angles: 145.82 145.80 49.13
Atoms (fractional coordinates):
Br 0.3231 0.3231 0.0000
Fe 0.6772 0.6772 0.0000
Ba 0.9996 0.9996 0.0000

Properties
The value obtained for the volume is 30.06 Å³/atom. As for the theoretical density: 5.028 Mg/m³. The value obtained for the total magnetization is 3.00 μB per formula unit. Its raw formation energy is 0.000 eV/atom. The calculation puts the calculated total energy at -12.059 eV for the cell shown.


Q: theoretical density of number 4 (Tl2NiMo)?
A: 12.432 Mg/m³


Q: The lowest theoretical density belongs to which entry?
A: Se2N2Cl